(1)
DFT (PBE-GGA) results for a relaxed Zr2AlFeHg crystal.

Cell and atoms, written as CIF:
```
data_Zr2AlFeHg
_space_group_name_H-M_alt 'P 4/m m m'
_space_group_IT_number 123
_space_group_name_Hall '-P 4 2'
_cell_length_a 4.786
_cell_length_b 4.786
_cell_length_c 4.570
_cell_angle_alpha 90.00
_cell_angle_beta 90.00
_cell_angle_gamma 90.00
loop_
_atom_site_label
_atom_site_type_symbol
_atom_site_fract_x
_atom_site_fract_y
_atom_site_fract_z
_atom_site_occupancy
Zr1 Zr 0.000 0.500 0.000 1
Al1 Al 0.000 0.000 0.500 1
Fe1 Fe 0.000 0.000 0.000 1
Hg1 Hg 0.500 0.500 0.500 1
```

electronic total energy = -5.869 eV/atom
volume = 104.67 Å³/cell
mass density = 7.390 g cm⁻³
D(E_F) = 5.692 states/eV per cell

---

(2)
DFT (PBE-GGA) results for a relaxed NiAg2IrPt crystal.

Cell and atoms, written as CIF:
```
data_NiAg2IrPt
_space_group_name_H-M_alt 'P 4/m m m'
_space_group_IT_number 123
_space_group_name_Hall '-P 4 2'
_cell_length_a 4.995
_cell_length_b 4.995
_cell_length_c 4.489
_cell_angle_alpha 90.00
_cell_angle_beta 90.00
_cell_angle_gamma 90.00
loop_
_atom_site_label
_atom_site_type_symbol
_atom_site_fract_x
_atom_site_fract_y
_atom_site_fract_z
_atom_site_occupancy
Ni1 Ni 0.000 0.000 0.000 1
Ag1 Ag 0.000 0.500 0.500 1
Ir1 Ir 0.500 0.500 0.000 1
Pt1 Pt 0.000 0.000 0.500 1
```

electronic total energy = -3.642 eV/atom
volume = 112.02 Å³/cell
mass density = 9.809 g cm⁻³
D(E_F) = 7.421 states/eV per cell